1.
A relaxed TcHg3I crystal, computed with PBEsol.

## Properties
* final energy: -11.370 eV/cell
* size of the total moment: 3.1 μB per formula unit

Cell lengths 5.305, 5.305, 5.305 Å; angles 90.00, 90.00, 90.00 degrees
Last column: magnetic moment on the atom in μB.
Element x y z (fractional)
I (0.500, 0.500, 0.500)  0.13
Hg (0.000, 0.500, 0.000)  0.05
Hg (0.000, 0.000, 0.500)  0.05
Hg (0.500, 0.000, 0.000)  0.05
Tc (0.000, 0.000, 0.000)  2.44

2.
A relaxed Hg3Te2I2 crystal, computed with PBEsol.

## Properties
* final energy: -55.131 eV/cell
* size of the total moment: 0.0 μB per formula unit

Cell lengths 8.584, 8.584, 14.386 Å; angles 80.40, 80.40, 69.08 degrees
Element x y z (fractional)
Hg (0.670, 0.330, 0.250)
Hg (0.330, 0.670, 0.750)
Hg (0.000, 0.500, 0.000)
Hg (0.500, 0.000, 0.500)
Hg (0.312, 0.753, 0.018)
Hg (0.247, 0.688, 0.482)
Hg (0.688, 0.247, 0.982)
Hg (0.753, 0.312, 0.518)
Hg (0.133, 0.103, 0.324)
Hg (0.897, 0.867, 0.176)
Hg (0.867, 0.897, 0.676)
Hg (0.103, 0.133, 0.824)
I (0.134, 0.088, 0.112)
I (0.912, 0.866, 0.388)
I (0.866, 0.912, 0.888)
I (0.088, 0.134, 0.612)
I (0.612, 0.655, 0.117)
I (0.345, 0.388, 0.383)
I (0.388, 0.345, 0.883)
I (0.655, 0.612, 0.617)
Te (0.429, 0.862, 0.364)
Te (0.138, 0.571, 0.136)
Te (0.571, 0.138, 0.636)
Te (0.862, 0.429, 0.864)
Te (0.885, 0.404, 0.341)
Te (0.596, 0.115, 0.159)
Te (0.115, 0.596, 0.659)
Te (0.404, 0.885, 0.841)

3.
A relaxed TlHg2I2 crystal, computed with PBEsol.

## Properties
* final energy: -8.263 eV/cell
* size of the total moment: 0.0 μB per formula unit

Cell lengths 6.114, 6.277, 6.114 Å; angles 60.85, 90.00, 119.15 degrees
Element x y z (fractional)
I (0.750, 0.500, 0.750)
I (0.250, 0.500, 0.250)
Tl (0.000, 0.000, 0.000)
Hg (0.649, 0.298, 0.351)
Hg (0.351, 0.702, 0.649)

4.
A relaxed Tl2Hg2I crystal, computed with PBEsol.

## Properties
* final energy: -17.707 eV/cell
* size of the total moment: 0.0 μB per formula unit

Cell lengths 3.900, 8.828, 8.828 Å; angles 90.00, 90.00, 90.00 degrees
Element x y z (fractional)
I (0.000, 0.000, 0.000)
I (0.000, 0.500, 0.500)
Tl (0.000, 0.330, 0.830)
Tl (0.000, 0.830, 0.670)
Tl (0.000, 0.670, 0.170)
Tl (0.000, 0.170, 0.330)
Hg (0.500, 0.131, 0.631)
Hg (0.500, 0.631, 0.869)
Hg (0.500, 0.869, 0.369)
Hg (0.500, 0.369, 0.131)

5.
A relaxed TlZn2HgI crystal, computed with PBEsol.

## Properties
* final energy: -4.738 eV/cell
* size of the total moment: 0.0 μB per formula unit

Cell lengths 5.313, 5.313, 6.489 Å; angles 90.00, 90.00, 90.00 degrees
Element x y z (fractional)
I (0.000, 0.000, 0.000)
Zn (0.000, 0.500, 0.000)
Zn (0.500, 0.000, 0.000)
Tl (0.500, 0.500, 0.500)
Hg (0.000, 0.000, 0.500)

6.
A relaxed HgWI3 crystal, computed with PBEsol.

## Properties
* final energy: -12.338 eV/cell
* size of the total moment: 4.9 μB per formula unit

Cell lengths 5.711, 5.711, 5.711 Å; angles 90.00, 90.00, 90.00 degrees
Last column: magnetic moment on the atom in μB.
Element x y z (fractional)
I (0.000, 0.500, 0.000)  -0.03
I (0.000, 0.000, 0.500)  -0.03
I (0.500, 0.000, 0.000)  -0.03
Hg (0.000, 0.000, 0.000)  0.01
W (0.500, 0.500, 0.500)  3.51

7.
A relaxed In6Hg7 crystal, computed with PBEsol.

## Properties
* DFT formation energy: 0.0391 eV/atom
* final energy: -21.357 eV/cell
* size of the total moment: 0.0 μB per formula unit

Cell lengths 5.996, 5.996, 10.879 Å; angles 74.00, 74.00, 60.00 degrees
Element x y z (fractional)
Hg (0.589, 0.083, 0.739)
Hg (0.083, 0.589, 0.739)
Hg (0.589, 0.589, 0.739)
Hg (0.411, 0.917, 0.261)
Hg (0.411, 0.411, 0.261)
Hg (0.917, 0.411, 0.261)
Hg (0.500, 0.500, 0.500)
In (0.048, 0.048, 0.855)
In (0.952, 0.952, 0.145)
In (0.154, 0.154, 0.537)
In (0.846, 0.846, 0.463)
In (0.334, 0.334, 0.997)
In (0.666, 0.666, 0.003)

8.
A relaxed InHg crystal, computed with PBEsol.

## Properties
* DFT formation energy: -0.0015 eV/atom
* final energy: -3.553 eV/cell
* size of the total moment: 0.0 μB per formula unit

Cell lengths 4.180, 4.180, 4.180 Å; angles 60.00, 60.00, 60.00 degrees
Element x y z (fractional)
Hg (0.000, 0.000, 0.000)
In (0.500, 0.500, 0.500)